# ScTeSe2Br | the Alexandria database | SCAN | single point on PBEsol structure
data_ScTeSe2Br
_space_group_name_H-M_alt 'P 1'
_space_group_IT_number 1
_cell_length_a 5.186
_cell_length_b 5.186
_cell_length_c 4.936
_cell_angle_alpha 90.00
_cell_angle_beta 90.00
_cell_angle_gamma 90.00
loop_
_space_group_symop_operation_xyz
'x,y,z'
loop_
_atom_site_label
_atom_site_type_symbol
_atom_site_fract_x
_atom_site_fract_y
_atom_site_fract_z
_atom_site_occupancy
Sc1 Sc 0.000 0.000 0.000 1
Te1 Te 0.500 0.500 0.500 1
Se1 Se 0.000 0.500 0.000 1
Se2 Se 0.500 0.000 0.000 1
Br1 Br 0.000 0.000 0.500 1
# Crystal system ... tetragonal
# E_tot ... -22.759 eV per atom
# Raw formation energy ... -0.54 eV/atom

---

# ScTiSe2Br | the Alexandria database | SCAN | single point on PBEsol structure
data_ScTiSe2Br
_space_group_name_H-M_alt 'P 1'
_space_group_IT_number 1
_cell_length_a 4.925
_cell_length_b 4.925
_cell_length_c 4.835
_cell_angle_alpha 90.00
_cell_angle_beta 90.00
_cell_angle_gamma 90.00
loop_
_space_group_symop_operation_xyz
'x,y,z'
loop_
_atom_site_label
_atom_site_type_symbol
_atom_site_fract_x
_atom_site_fract_y
_atom_site_fract_z
_atom_site_occupancy
Sc1 Sc 0.000 0.000 0.000 1
Ti1 Ti 0.500 0.500 0.500 1
Se1 Se 0.000 0.500 0.500 1
Se2 Se 0.500 0.000 0.500 1
Br1 Br 0.500 0.500 0.000 1
# Crystal system ... tetragonal
# E_tot ... -18.710 eV per atom
# Raw formation energy ... -0.73 eV/atom

---

# ScWSe2Br | the Alexandria database | SCAN | single point on PBEsol structure
data_ScWSe2Br
_space_group_name_H-M_alt 'P 1'
_space_group_IT_number 1
_cell_length_a 5.125
_cell_length_b 5.125
_cell_length_c 4.871
_cell_angle_alpha 90.00
_cell_angle_beta 90.00
_cell_angle_gamma 90.00
loop_
_space_group_symop_operation_xyz
'x,y,z'
loop_
_atom_site_label
_atom_site_type_symbol
_atom_site_fract_x
_atom_site_fract_y
_atom_site_fract_z
_atom_site_occupancy
Sc1 Sc 0.000 0.000 0.000 1
W1 W 0.500 0.500 0.500 1
Se1 Se 0.000 0.500 0.000 1
Se2 Se 0.500 0.000 0.000 1
Br1 Br 0.000 0.000 0.500 1
# Crystal system ... tetragonal
# E_tot ... -28.320 eV per atom
# Raw formation energy ... 0.39 eV/atom

---

# ScWSeBr2 | the Alexandria database | SCAN | single point on PBEsol structure
data_ScWSeBr2
_space_group_name_H-M_alt 'P 1'
_space_group_IT_number 1
_cell_length_a 5.044
_cell_length_b 5.044
_cell_length_c 4.863
_cell_angle_alpha 90.00
_cell_angle_beta 90.00
_cell_angle_gamma 90.00
loop_
_space_group_symop_operation_xyz
'x,y,z'
loop_
_atom_site_label
_atom_site_type_symbol
_atom_site_fract_x
_atom_site_fract_y
_atom_site_fract_z
_atom_site_occupancy
Sc1 Sc 0.000 0.000 0.000 1
W1 W 0.500 0.500 0.500 1
Se1 Se 0.500 0.500 0.000 1
Br1 Br 0.000 0.500 0.500 1
Br2 Br 0.500 0.000 0.500 1
# Crystal system ... tetragonal
# E_tot ... -28.241 eV per atom
# Raw formation energy ... 0.34 eV/atom

---

# ScZnSeBr2 | the Alexandria database | SCAN | single point on PBEsol structure
data_ScZnSeBr2
_space_group_name_H-M_alt 'P 1'
_space_group_IT_number 1
_cell_length_a 5.127
_cell_length_b 5.127
_cell_length_c 5.271
_cell_angle_alpha 90.00
_cell_angle_beta 90.00
_cell_angle_gamma 90.00
loop_
_space_group_symop_operation_xyz
'x,y,z'
loop_
_atom_site_label
_atom_site_type_symbol
_atom_site_fract_x
_atom_site_fract_y
_atom_site_fract_z
_atom_site_occupancy
Sc1 Sc 0.000 0.000 0.000 1
Zn1 Zn 0.500 0.500 0.500 1
Se1 Se 0.000 0.000 0.500 1
Br1 Br 0.000 0.500 0.000 1
Br2 Br 0.500 0.000 0.000 1
# Crystal system ... tetragonal
# E_tot ... -18.202 eV per atom
# Raw formation energy ... -0.85 eV/atom

---

# ScSiBr2 | the Alexandria database | SCAN | single point on PBEsol structure
data_ScSiBr2
_space_group_name_H-M_alt 'P 1'
_space_group_IT_number 1
_cell_length_a 4.245
_cell_length_b 3.332
_cell_length_c 7.366
_cell_angle_alpha 90.00
_cell_angle_beta 93.57
_cell_angle_gamma 90.00
loop_
_space_group_symop_operation_xyz
'x,y,z'
loop_
_atom_site_label
_atom_site_type_symbol
_atom_site_fract_x
_atom_site_fract_y
_atom_site_fract_z
_atom_site_occupancy
Sc1 Sc 0.000 0.000 0.000 1
Si1 Si 0.507 0.500 0.102 1
Br1 Br 0.290 0.000 0.347 1
Br2 Br 0.843 0.500 0.734 1
# Crystal system ... monoclinic
# E_tot ... -16.573 eV per atom
# Raw formation energy ... -0.78 eV/atom

---

# ScSiBr2 | the Alexandria database | SCAN | single point on PBEsol structure
data_ScSiBr2
_space_group_name_H-M_alt 'P 1'
_space_group_IT_number 1
_cell_length_a 3.459
_cell_length_b 3.459
_cell_length_c 7.471
_cell_angle_alpha 90.00
_cell_angle_beta 90.00
_cell_angle_gamma 90.00
loop_
_space_group_symop_operation_xyz
'x,y,z'
loop_
_atom_site_label
_atom_site_type_symbol
_atom_site_fract_x
_atom_site_fract_y
_atom_site_fract_z
_atom_site_occupancy
Sc1 Sc 0.000 0.000 0.000 1
Si1 Si 0.500 0.500 0.161 1
Br1 Br 0.000 0.000 0.383 1
Br2 Br 0.500 0.500 0.786 1
# Crystal system ... tetragonal
# E_tot ... -16.426 eV per atom
# Raw formation energy ... -0.63 eV/atom

---

# ScSi2Br | the Alexandria database | SCAN | single point on PBEsol structure
data_ScSi2Br
_space_group_name_H-M_alt 'P 1'
_space_group_IT_number 1
_cell_length_a 4.942
_cell_length_b 4.942
_cell_length_c 3.087
_cell_angle_alpha 90.00
_cell_angle_beta 90.00
_cell_angle_gamma 90.00
loop_
_space_group_symop_operation_xyz
'x,y,z'
loop_
_atom_site_label
_atom_site_type_symbol
_atom_site_fract_x
_atom_site_fract_y
_atom_site_fract_z
_atom_site_occupancy
Sc1 Sc 0.000 0.000 0.000 1
Si1 Si 0.000 0.500 0.500 1
Si2 Si 0.500 0.000 0.500 1
Br1 Br 0.500 0.500 0.000 1
# Crystal system ... tetragonal
# E_tot ... -13.227 eV per atom
# Raw formation energy ... 0.20 eV/atom

---

# ScSi2Br | the Alexandria database | SCAN | single point on PBEsol structure
data_ScSi2Br
_space_group_name_H-M_alt 'P 1'
_space_group_IT_number 1
_cell_length_a 6.178
_cell_length_b 6.178
_cell_length_c 6.178
_cell_angle_alpha 150.01
_cell_angle_beta 139.82
_cell_angle_gamma 50.94
loop_
_space_group_symop_operation_xyz
'x,y,z'
loop_
_atom_site_label
_atom_site_type_symbol
_atom_site_fract_x
_atom_site_fract_y
_atom_site_fract_z
_atom_site_occupancy
Sc1 Sc 0.000 0.000 0.000 1
Si1 Si 0.221 0.721 0.500 1
Si2 Si 0.779 0.279 0.500 1
Br1 Br 0.500 0.500 0.000 1
# Crystal system ... orthorhombic
# E_tot ... -13.514 eV per atom
# Raw formation energy ... -0.08 eV/atom

---

# ScSi2Br | the Alexandria database | SCAN | single point on PBEsol structure
data_ScSi2Br
_space_group_name_H-M_alt 'P 1'
_space_group_IT_number 1
_cell_length_a 5.256
_cell_length_b 5.256
_cell_length_c 5.211
_cell_angle_alpha 90.11
_cell_angle_beta 90.11
_cell_angle_gamma 41.13
loop_
_space_group_symop_operation_xyz
'x,y,z'
loop_
_atom_site_label
_atom_site_type_symbol
_atom_site_fract_x
_atom_site_fract_y
_atom_site_fract_z
_atom_site_occupancy
Sc1 Sc 0.000 0.000 0.000 1
Si1 Si 0.303 0.303 0.929 1
Si2 Si 0.697 0.697 0.071 1
Br1 Br 0.500 0.500 0.500 1
# Crystal system ... monoclinic
# E_tot ... -13.666 eV per atom
# Raw formation energy ... -0.23 eV/atom

---

# ScSi2Br | the Alexandria database | SCAN | single point on PBEsol structure
data_ScSi2Br
_space_group_name_H-M_alt 'P 1'
_space_group_IT_number 1
_cell_length_a 3.221
_cell_length_b 3.221
_cell_length_c 7.618
_cell_angle_alpha 90.00
_cell_angle_beta 90.00
_cell_angle_gamma 90.00
loop_
_space_group_symop_operation_xyz
'x,y,z'
loop_
_atom_site_label
_atom_site_type_symbol
_atom_site_fract_x
_atom_site_fract_y
_atom_site_fract_z
_atom_site_occupancy
Sc1 Sc 0.000 0.000 0.000 1
Si1 Si 0.000 0.000 0.612 1
Si2 Si 0.500 0.500 0.763 1
Br1 Br 0.500 0.500 0.219 1
# Crystal system ... tetragonal
# E_tot ... -13.724 eV per atom
# Raw formation energy ... -0.29 eV/atom

---

# ScSiBr2 | the Alexandria database | SCAN | single point on PBEsol structure
data_ScSiBr2
_space_group_name_H-M_alt 'P 1'
_space_group_IT_number 1
_cell_length_a 7.568
_cell_length_b 7.568
_cell_length_c 7.568
_cell_angle_alpha 151.81
_cell_angle_beta 149.58
_cell_angle_gamma 41.95
loop_
_space_group_symop_operation_xyz
'x,y,z'
loop_
_atom_site_label
_atom_site_type_symbol
_atom_site_fract_x
_atom_site_fract_y
_atom_site_fract_z
_atom_site_occupancy
Sc1 Sc 0.000 0.000 0.000 1
Si1 Si 0.500 0.500 0.000 1
Br1 Br 0.151 0.651 0.500 1
Br2 Br 0.849 0.349 0.500 1
# Crystal system ... orthorhombic
# E_tot ... -16.449 eV per atom
# Raw formation energy ... -0.66 eV/atom

---

> Among the records above, which one has the highest raw formation energy?

ScWSe2Br

---

> What is the E_tot in the second record?

-18.710 eV per atom

---

> Number 6 is which compound?

ScSiBr2